[1]
11
Lattice="10.463 0.000 0.000 -5.231 9.061 0.000 0.000 0.000 5.730" Properties=species:S:1:pos:R:3 comment="GGA-PBE CsNp2Br8, optimized geometry" dft_energy_ev_per_atom=-4.93 space_group="No. 147" de_polymorph_mev_per_atom=41 e_form_raw_ev_per_atom=-1.281 dos_ef_per_ev_cell=12.88 total_magnetization_mub_per_cell=7.00 pbc="T T T"
Cs 0.000 0.000 0.000
Np 0.000 6.041 1.556
Np 5.231 3.020 4.175
Br -0.015 3.333 1.609
Br -2.337 7.407 1.609
Br 0.000 6.041 4.468
Br 2.879 1.679 4.122
Br 2.352 7.382 1.609
Br 5.231 3.020 1.262
Br 7.569 1.654 4.122
Br 5.246 5.728 4.122

---

[2]
8
Lattice="-4.287 4.287 5.148 4.287 -4.287 5.148 4.287 4.287 -5.148" Properties=species:S:1:pos:R:3 comment="GGA-PBE Cs2NpBr5, optimized geometry" dft_energy_ev_per_atom=-4.41 space_group="No. 107" de_polymorph_mev_per_atom=62 e_form_raw_ev_per_atom=-1.536 dos_ef_per_ev_cell=7.73 total_magnetization_mub_per_cell=4.00 pbc="T T T"
Cs 4.287 0.000 0.000
Cs 0.000 4.287 0.000
Np 0.000 0.000 2.836
Br 2.293 2.293 -2.717
Br 1.994 -1.994 2.431
Br -1.994 1.994 2.431
Br 1.994 1.994 2.431
Br 0.000 0.000 5.537